No. 1
Compound: BaTl2HgIr
Source: Alexandria via LeMat-Bulk
Functional: PBE
Structure: relaxed

```
data_BaTl2HgIr
_chemical_formula_sum 'Ba1 Tl2 Hg1 Ir1'
_symmetry_space_group_name_H-M 'P 4/m m m'
_symmetry_Int_Tables_number 123
_symmetry_space_group_name_Hall '-P 4 2'
_cell_length_a 5.297
_cell_length_b 5.297
_cell_length_c 5.398
_cell_angle_alpha 90.00
_cell_angle_beta 90.00
_cell_angle_gamma 90.00
loop_
_atom_site_label
_atom_site_type_symbol
_atom_site_fract_x
_atom_site_fract_y
_atom_site_fract_z
Ba1 Ba 0.000 0.000 0.000
Tl1 Tl 0.000 0.500 0.500
Hg1 Hg 0.500 0.500 0.000
Ir1 Ir 0.500 0.500 0.500
```

* energy of formation: -0.13 eV per atom



No. 2
Compound: TmBiPd2
Source: Alexandria via LeMat-Bulk
Functional: PBE
Structure: relaxed

```
data_TmBiPd2
_chemical_formula_sum 'Tm1 Bi1 Pd2'
_symmetry_space_group_name_H-M 'P 4/m m m'
_symmetry_Int_Tables_number 123
_symmetry_space_group_name_Hall '-P 4 2'
_cell_length_a 4.597
_cell_length_b 4.597
_cell_length_c 3.925
_cell_angle_alpha 90.00
_cell_angle_beta 90.00
_cell_angle_gamma 90.00
loop_
_atom_site_label
_atom_site_type_symbol
_atom_site_fract_x
_atom_site_fract_y
_atom_site_fract_z
Tm1 Tm 0.000 0.000 0.000
Bi1 Bi 0.500 0.500 0.000
Pd1 Pd 0.000 0.500 0.500
```

* energy of formation: -0.66 eV per atom



No. 3
Compound: KAgBr2
Source: Alexandria via LeMat-Bulk
Functional: PBE
Structure: relaxed

```
data_KAgBr2
_chemical_formula_sum 'K2 Ag2 Br4'
_symmetry_space_group_name_H-M 'C 1 m 1'
_symmetry_Int_Tables_number 8
_cell_length_a 14.636
_cell_length_b 4.348
_cell_length_c 4.614
_cell_angle_alpha 90.00
_cell_angle_beta 94.89
_cell_angle_gamma 90.00
loop_
_symmetry_equiv_pos_as_xyz
'x,y,z'
'x,-y,z'
'x+1/2,y+1/2,z'
'x+1/2,-y+1/2,z'
loop_
_atom_site_label
_atom_site_type_symbol
_atom_site_fract_x
_atom_site_fract_y
_atom_site_fract_z
K1 K 0.000 0.000 0.000
Ag1 Ag 0.232 0.500 0.790
Br1 Br 0.068 0.500 0.519
Br2 Br 0.319 0.000 0.994
```



No. 4
Compound: Ta2Ir
Source: Alexandria via LeMat-Bulk
Functional: PBE
Structure: relaxed

```
data_Ta2Ir
_chemical_formula_sum 'Ta2 Ir1'
_symmetry_space_group_name_H-M 'P 4/m m m'
_symmetry_Int_Tables_number 123
_symmetry_space_group_name_Hall '-P 4 2'
_cell_length_a 4.291
_cell_length_b 4.291
_cell_length_c 3.233
_cell_angle_alpha 90.00
_cell_angle_beta 90.00
_cell_angle_gamma 90.00
loop_
_atom_site_label
_atom_site_type_symbol
_atom_site_fract_x
_atom_site_fract_y
_atom_site_fract_z
Ta1 Ta 0.000 0.500 0.000
Ir1 Ir 0.000 0.000 0.500
```

* energy of formation: 0.19 eV per atom



No. 5
Compound: Re3P5
Source: Alexandria via LeMat-Bulk
Functional: PBE
Structure: relaxed

```
data_Re3P5
_chemical_formula_sum 'Re6 P10'
_symmetry_space_group_name_H-M 'P 63/m c m'
_symmetry_Int_Tables_number 193
_symmetry_space_group_name_Hall '-P 6c 2'
_cell_length_a 7.5459
_cell_length_b 7.5459
_cell_length_c 4.6707
_cell_angle_alpha 90.00
_cell_angle_beta 90.00
_cell_angle_gamma 120.00
loop_
_atom_site_label
_atom_site_type_symbol
_atom_site_fract_x
_atom_site_fract_y
_atom_site_fract_z
Re1 Re 0.0000 0.3721 0.2500
P1 P 0.0000 0.2642 0.7500
P2 P 0.3333 0.6667 0.0000
```

* energy of formation: 0.33 eV per atom



No. 6
Compound: SrGaRhO6
Source: Alexandria via LeMat-Bulk
Functional: PBE
Structure: relaxed

```
data_SrGaRhO6
_chemical_formula_sum 'Sr1 Ga1 Rh1 O6'
_symmetry_space_group_name_H-M 'P 3 1 2'
_symmetry_Int_Tables_number 149
_cell_length_a 5.2059
_cell_length_b 5.2059
_cell_length_c 5.4176
_cell_angle_alpha 90.00
_cell_angle_beta 90.00
_cell_angle_gamma 120.00
loop_
_symmetry_equiv_pos_as_xyz
'x,y,z'
'-y,x-y,z'
'-x+y,-x,z'
'-y,-x,-z'
'-x+y,y,-z'
'x,x-y,-z'
loop_
_atom_site_label
_atom_site_type_symbol
_atom_site_fract_x
_atom_site_fract_y
_atom_site_fract_z
Sr1 Sr 0.0000 0.0000 0.0000
Ga1 Ga 0.3333 0.6667 0.5000
Rh1 Rh 0.6667 0.3333 0.5000
O1 O 0.3796 0.0082 0.6996
```



Number 1: total DFT energy (no corrections) -3.29 eV per atom, total magnetization 0.00 μB per cell. Number 2: total DFT energy (no corrections) -5.34 eV per atom, total magnetization 0.00 μB per cell. Number 3: total DFT energy (no corrections) -2.83 eV per atom, total magnetization 0.00 μB per cell. Number 4: total DFT energy (no corrections) -10.66 eV per atom, total magnetization 0.00 μB per cell. Number 5: total DFT energy (no corrections) -7.72 eV per atom, total magnetization 0.00 μB per cell. Number 6: total DFT energy (no corrections) -5.91 eV per atom, total magnetization 0.00 μB per cell.